Computed, not measured: a geometry-optimized TaPOs2 structure at the PBE-GGA level of DFT. Values from VASP.

The structure in Quantum ESPRESSO input format:
```
&SYSTEM
  ibrav = 0, nat = 4, ntyp = 3
/
ATOMIC_SPECIES
P 30.97 P.upf
Os 190.23 Os.upf
Ta 180.95 Ta.upf
ATOMIC_POSITIONS crystal
P 0.500 0.500 0.500
Os 0.000 0.000 0.723
Os 0.000 0.000 0.277
Ta 0.500 0.500 0.000
CELL_PARAMETERS angstrom
-2.527 -1.166 0.592
1.269 -0.905 -2.381
3.786 -6.018 4.304
```

DOS at the Fermi energy	0.983	states/eV/atom
calculated formation energy	28	kJ/mol of atoms